The following is a GGA-PBE calculation of a relaxed LaScTl2 crystal, from Alexandria via LeMat-Bulk.

N(E_F) ... 3.19 states/eV/cell
E ... -4.223 eV/atom
Formation energy from the elements ... -0.22 eV per atom

Cell and atoms, written as POSCAR:
```
LaScTl2
1.0
-3.3346 -2.4740 -4.9006
-4.1815 -4.6787 -1.3714
-4.5576 1.6035 -0.0920
La Sc Tl
1 1 2
Cartesian
-5.9942 -2.6510 -3.0946
-2.9891 -1.2983 -1.5284
-4.6573 1.3057 -0.3020
-9.0276 -4.0768 -4.7132
```


The following is a GGA-PBE calculation of a relaxed Te2RhSe crystal, from Alexandria via LeMat-Bulk.

N(E_F) ... 2.20 states/eV/cell
Formation energy from raw total energies ... 325 meV/atom
E ... -3.955 eV/atom

Cell and atoms, written as POSCAR:
```
Te2RhSe
1.0
-1.4066 2.8880 0.6750
-4.4139 -1.7265 -1.8113
-1.2386 -1.6838 4.6232
Se Rh Te
1 1 2
Cartesian
-1.3226 0.6021 2.6491
-2.9102 0.5808 -0.5682
0.0000 0.0000 0.0000
-2.8262 -1.7051 1.4060
```


The following is a GGA-PBE calculation of a relaxed CrCu2SiPd crystal, from Alexandria via LeMat-Bulk.

N(E_F) ... 6.70 states/eV/cell
Formation energy from raw total energies ... 729 meV/atom
E ... -4.957 eV/atom

Cell and atoms, written as POSCAR:
```
CrCu2SiPd
1.0
-2.6152 3.3732 -0.2084
-1.0232 -0.5391 4.1138
3.2870 2.6201 1.1609
Cu Pd Cr Si
2 1 1 1
Cartesian
-1.3076 1.6866 -0.1042
-0.5116 -0.2696 2.0569
-0.1758 2.7271 2.5332
1.6435 1.3101 0.5805
0.0000 0.0000 0.0000
```